[1]
The following is a DFT calculation (PBE) of a relaxed structure of Cs3TlTc2O8.

The space group is P-3m1 (No. 164) and the conventional cell measures 6.6173, 6.6173 and 8.6345 Å, with angles of 90.00, 90.00 and 120.00 degrees. The asymmetric unit holds Cs at (0.0000, 0.0000, 0.0000), Cs at (0.3333, 0.6667, 0.6698), Tl at (0.0000, 0.0000, 0.5000), Tc at (0.3333, 0.6667, 0.2125), O at (0.1865, 0.3730, 0.2874) and O at (0.3333, 0.6667, 0.0075).

The calculation puts the density of states at the Fermi level at 11.5 states/eV/f.u. As for the crystal system: trigonal. The raw formation energy is -1548 meV/atom.

[2]
The following is a DFT calculation (PBE) of a relaxed structure of Na4AcTb3Te8.

The space group is R-3m (No. 166, hexagonal axes) and the conventional cell measures 9.0633, 9.0633 and 22.7154 Å, with angles of 90.00, 90.00 and 120.00 degrees. The asymmetric unit holds Na at (0.0000, 0.0000, 0.0000), Na at (0.0000, 0.5000, 0.0000), Ac at (0.0000, 0.0000, 0.5000), Tb at (0.0000, 0.5000, 0.5000), Te at (0.0000, 0.0000, 0.2434) and Te at (0.0153, 0.5077, 0.7539).

As for the crystal system: trigonal. The raw formation energy is -1329 meV/atom.

[3]
The following is a DFT calculation (PBE) of a relaxed structure of PaSi2Ru.

The space group is R-3m (No. 166, hexagonal axes) and the conventional cell measures 4.0968, 4.0968 and 14.4776 Å, with angles of 90.00, 90.00 and 120.00 degrees. The asymmetric unit holds Pa at (0.0000, 0.0000, 0.0000), Si at (0.0000, 0.0000, 0.2135) and Ru at (0.0000, 0.0000, 0.5000).

The calculation puts the density of states at the Fermi level at 3.6 states/eV/f.u. As for the crystal system: trigonal. The raw formation energy is -687 meV/atom.

[4]
The following is a DFT calculation (PBE) of a relaxed structure of NbGaBr2.

The space group is I-42d (No. 122) and the conventional cell measures 9.4828, 9.4828 and 5.4634 Å, with angles of 90.00, 90.00 and 90.00 degrees. The asymmetric unit holds Nb at (0.0000, 0.0000, 0.0000), Ga at (0.0000, 0.0000, 0.5000) and Br at (0.1122, 0.7500, 0.1250).

The calculation puts the energy above the most stable polymorph in this dataset at 211 meV/atom. The calculation puts the density of states at the Fermi level at 3.5 states/eV/f.u. As for the crystal system: tetragonal. The raw formation energy is -51 meV/atom.

Please write out number 3 again, unchanged.
The following is a DFT calculation (PBE) of a relaxed structure of PaSi2Ru.

The space group is R-3m (No. 166, hexagonal axes) and the conventional cell measures 4.0968, 4.0968 and 14.4776 Å, with angles of 90.00, 90.00 and 120.00 degrees. The asymmetric unit holds Pa at (0.0000, 0.0000, 0.0000), Si at (0.0000, 0.0000, 0.2135) and Ru at (0.0000, 0.0000, 0.5000).

The calculation puts the density of states at the Fermi level at 3.6 states/eV/f.u. As for the crystal system: trigonal. The raw formation energy is -687 meV/atom.

> Look up the raw formation energy of the first one.

-1548 meV/atom